A geometry-optimized CeErPuRu structure. Source: Alexandria, functional PBE.

Output
Space-group type: No. 216
Mass density (g cm⁻³): 12.0
Fermi-level density of states (states/eV/cell): 10.1
E_form (eV/atom): 0.04

Cell: 5.0354 5.0354 5.0354 Å, 60.00 60.00 60.00°
Sites, in units of the cell vectors:
Ce  0.0000  0.0000  0.0000
Er  0.5000  0.5000  0.5000
Pu  0.2500  0.2500  0.2500
Ru  0.7500  0.7500  0.7500


A geometry-optimized CeEr3Pu2S6 structure. Source: Alexandria, functional PBE.

Output
Formation energy (no corrections) (eV per atom): -1.938
Space-group type: No. 12
Mass density (g cm⁻³): 8.6
Fermi-level density of states (states/eV/cell): 17.3

Cell: 8.7945 8.7945 7.8923 Å, 103.66 103.66 25.62°
Sites, in units of the cell vectors:
Ce  0.0000  0.0000  0.0000
Er  0.0000  0.0000  0.5000
Er  0.3332  0.3332  0.1675
Er  0.6668  0.6668  0.8325
Pu  0.3338  0.3338  0.6681
Pu  0.6662  0.6662  0.3319
S  0.1654  0.1654  0.5867
S  0.1700  0.1700  0.0788
S  0.4978  0.4978  0.2593
S  0.5022  0.5022  0.7407
S  0.8300  0.8300  0.9212
S  0.8346  0.8346  0.4133


A geometry-optimized CeErPu2S4 structure. Source: Alexandria, functional PBE.

Output
Formation energy (no corrections) (eV per atom): -1.898
Space-group type: No. 10
Mass density (g cm⁻³): 8.8
Fermi-level density of states (states/eV/cell): 16.2

Cell: 6.8325 3.9406 6.8591 Å, 90.00 109.28 90.00°
Sites, in units of the cell vectors:
Ce  0.0000  0.0000  0.0000
Er  0.0000  0.5000  0.5000
Pu  0.5000  0.0000  0.5000
Pu  0.5000  0.5000  0.0000
S  0.2474  0.0000  0.7427
S  0.2533  0.5000  0.2578
S  0.7467  0.5000  0.7422
S  0.7526  0.0000  0.2573


A geometry-optimized Ce2ErPuS4 structure. Source: Alexandria, functional PBE.

Output
Formation energy (no corrections) (eV per atom): -1.967
Space-group type: No. 10
Mass density (g cm⁻³): 7.7
Fermi-level density of states (states/eV/cell): 14.0

Cell: 6.8441 3.9433 6.9076 Å, 90.00 109.23 90.00°
Sites, in units of the cell vectors:
Ce  0.0000  0.0000  0.0000
Ce  0.5000  0.5000  0.0000
Er  0.0000  0.5000  0.5000
Pu  0.5000  0.0000  0.5000
S  0.2419  0.0000  0.7380
S  0.2500  0.5000  0.2603
S  0.7500  0.5000  0.7397
S  0.7581  0.0000  0.2620


- Among the records above, which one has the lowest mass density?
  Ce2ErPuS4


- The highest mass density belongs to which entry?
  CeErPuRu